*1*
# CaV4O10, optimized geometry, DFT PBE with a Hubbard U
# Symmetry   Amm2
data_CaV4O10
_space_group_name_H-M_alt 'P 1'
_space_group_IT_number 1
_cell_length_a 11.368
_cell_length_b 5.914
_cell_length_c 5.914
_cell_angle_alpha 36.56
_cell_angle_beta 90.00
_cell_angle_gamma 90.00
loop_
_space_group_symop_operation_xyz
'x,y,z'
loop_
_atom_site_label
_atom_site_type_symbol
_atom_site_fract_x
_atom_site_fract_y
_atom_site_fract_z
Ca1 Ca 0.000 0.000 0.000
V1 V 0.154 0.301 0.301
V2 V 0.351 0.893 0.893
V3 V 0.649 0.893 0.893
V4 V 0.846 0.301 0.301
O1 O 0.000 0.385 0.385
O2 O 0.132 0.155 0.155
O3 O 0.177 0.861 0.861
O4 O 0.321 0.350 0.350
O5 O 0.365 0.035 0.035
O6 O 0.500 0.834 0.834
O7 O 0.635 0.035 0.035
O8 O 0.679 0.350 0.350
O9 O 0.823 0.861 0.861
O10 O 0.868 0.155 0.155

*2*
# CaV4O10, optimized geometry, DFT PBE with a Hubbard U
# Symmetry   Pmm2
data_CaV4O10
_space_group_name_H-M_alt 'P 1'
_space_group_IT_number 1
_cell_length_a 3.630
_cell_length_b 11.484
_cell_length_c 5.017
_cell_angle_alpha 90.00
_cell_angle_beta 90.00
_cell_angle_gamma 90.00
loop_
_space_group_symop_operation_xyz
'x,y,z'
loop_
_atom_site_label
_atom_site_type_symbol
_atom_site_fract_x
_atom_site_fract_y
_atom_site_fract_z
Ca1 Ca 0.000 0.000 0.000
V1 V 0.000 0.349 0.238
V2 V 0.000 0.651 0.238
V3 V 0.500 0.154 0.460
V4 V 0.500 0.846 0.460
O1 O 0.000 0.177 0.322
O2 O 0.000 0.353 0.917
O3 O 0.000 0.500 0.344
O4 O 0.000 0.647 0.917
O5 O 0.000 0.823 0.322
O6 O 0.500 0.000 0.298
O7 O 0.500 0.124 0.790
O8 O 0.500 0.321 0.347
O9 O 0.500 0.679 0.347
O10 O 0.500 0.876 0.790

*2* (0.029 eV/atom below the next structure)

*1*
# CaV4O8, optimized geometry, DFT PBE with a Hubbard U
# Symmetry   R-3m
data_CaV4O8
_space_group_name_H-M_alt 'P 1'
_space_group_IT_number 1
_cell_length_a 6.604
_cell_length_b 6.604
_cell_length_c 6.604
_cell_angle_alpha 53.33
_cell_angle_beta 53.33
_cell_angle_gamma 53.33
loop_
_space_group_symop_operation_xyz
'x,y,z'
loop_
_atom_site_label
_atom_site_type_symbol
_atom_site_fract_x
_atom_site_fract_y
_atom_site_fract_z
Ca1 Ca 0.000 0.000 0.000
V1 V 0.000 0.000 0.500
V2 V 0.000 0.500 0.000
V3 V 0.500 0.000 0.000
V4 V 0.500 0.500 0.500
O1 O 0.222 0.734 0.734
O2 O 0.226 0.226 0.226
O3 O 0.266 0.266 0.778
O4 O 0.266 0.778 0.266
O5 O 0.734 0.222 0.734
O6 O 0.734 0.734 0.222
O7 O 0.774 0.774 0.774
O8 O 0.778 0.266 0.266

*2*
# CaV4O8, optimized geometry, DFT PBE with a Hubbard U
# Symmetry   C2/m
data_CaV4O8
_space_group_name_H-M_alt 'P 1'
_space_group_IT_number 1
_cell_length_a 6.038
_cell_length_b 6.038
_cell_length_c 7.518
_cell_angle_alpha 125.46
_cell_angle_beta 125.46
_cell_angle_gamma 58.75
loop_
_space_group_symop_operation_xyz
'x,y,z'
loop_
_atom_site_label
_atom_site_type_symbol
_atom_site_fract_x
_atom_site_fract_y
_atom_site_fract_z
Ca1 Ca 0.000 0.000 0.000
V1 V 0.251 0.749 0.500
V2 V 0.270 0.270 0.551
V3 V 0.730 0.730 0.449
V4 V 0.749 0.251 0.500
O1 O 0.006 0.527 0.693
O2 O 0.012 0.012 0.329
O3 O 0.473 0.994 0.307
O4 O 0.497 0.497 0.677
O5 O 0.503 0.503 0.323
O6 O 0.527 0.006 0.693
O7 O 0.988 0.988 0.671
O8 O 0.994 0.473 0.307

*3*
# CaV4O8, optimized geometry, DFT PBE with a Hubbard U
# Symmetry   Cm
data_CaV4O8
_space_group_name_H-M_alt 'P 1'
_space_group_IT_number 1
_cell_length_a 7.242
_cell_length_b 7.242
_cell_length_c 9.824
_cell_angle_alpha 132.02
_cell_angle_beta 132.02
_cell_angle_gamma 24.79
loop_
_space_group_symop_operation_xyz
'x,y,z'
loop_
_atom_site_label
_atom_site_type_symbol
_atom_site_fract_x
_atom_site_fract_y
_atom_site_fract_z
Ca1 Ca 0.000 0.000 0.000
V1 V 0.248 0.248 0.911
V2 V 0.445 0.445 0.590
V3 V 0.757 0.757 0.589
V4 V 0.951 0.951 0.279
O1 O 0.073 0.073 0.737
O2 O 0.144 0.144 0.462
O3 O 0.404 0.404 0.757
O4 O 0.446 0.446 0.398
O5 O 0.448 0.448 0.116
O6 O 0.761 0.761 0.050
O7 O 0.768 0.768 0.797
O8 O 0.811 0.811 0.466

*2* (0.007 eV/atom below the next structure)

*1*
# CaV2O6, optimized geometry, DFT PBE with a Hubbard U
# Symmetry   C2/m
data_CaV2O6
_space_group_name_H-M_alt 'P 1'
_space_group_IT_number 1
_cell_length_a 5.681
_cell_length_b 5.681
_cell_length_c 7.267
_cell_angle_alpha 100.77
_cell_angle_beta 100.77
_cell_angle_gamma 37.93
loop_
_space_group_symop_operation_xyz
'x,y,z'
loop_
_atom_site_label
_atom_site_type_symbol
_atom_site_fract_x
_atom_site_fract_y
_atom_site_fract_z
Ca1 Ca 0.000 0.000 0.000
V1 V 0.250 0.250 0.676
V2 V 0.750 0.750 0.324
O1 O 0.117 0.117 0.760
O2 O 0.238 0.238 0.396
O3 O 0.378 0.378 0.859
O4 O 0.622 0.622 0.141
O5 O 0.762 0.762 0.604
O6 O 0.883 0.883 0.240

*2*
# CaV2O6, optimized geometry, DFT PBE with a Hubbard U
# Symmetry   C2/c
data_CaV2O6
_space_group_name_H-M_alt 'P 1'
_space_group_IT_number 1
_cell_length_a 7.328
_cell_length_b 7.328
_cell_length_c 6.039
_cell_angle_alpha 104.50
_cell_angle_beta 104.50
_cell_angle_gamma 86.10
loop_
_space_group_symop_operation_xyz
'x,y,z'
loop_
_atom_site_label
_atom_site_type_symbol
_atom_site_fract_x
_atom_site_fract_y
_atom_site_fract_z
Ca1 Ca 0.106 0.894 0.750
Ca2 Ca 0.894 0.106 0.250
V1 V 0.221 0.379 0.759
V2 V 0.379 0.221 0.259
V3 V 0.621 0.779 0.741
V4 V 0.779 0.621 0.241
O1 O 0.065 0.197 0.649
O2 O 0.109 0.587 0.784
O3 O 0.197 0.065 0.149
O4 O 0.360 0.361 0.545
O5 O 0.361 0.360 0.045
O6 O 0.413 0.891 0.716
O7 O 0.587 0.109 0.284
O8 O 0.639 0.640 0.955
O9 O 0.640 0.639 0.455
O10 O 0.803 0.935 0.851
O11 O 0.891 0.413 0.216
O12 O 0.935 0.803 0.351

*1* (0.009 eV/atom below the next structure)

*1*
# Ca2V3O8, optimized geometry, DFT PBE with a Hubbard U
# Symmetry   C2/m
data_Ca2V3O8
_space_group_name_H-M_alt 'P 1'
_space_group_IT_number 1
_cell_length_a 6.439
_cell_length_b 6.439
_cell_length_c 4.972
_cell_angle_alpha 108.38
_cell_angle_beta 108.38
_cell_angle_gamma 58.01
loop_
_space_group_symop_operation_xyz
'x,y,z'
loop_
_atom_site_label
_atom_site_type_symbol
_atom_site_fract_x
_atom_site_fract_y
_atom_site_fract_z
Ca1 Ca 0.224 0.224 0.161
Ca2 Ca 0.776 0.776 0.839
V1 V 0.232 0.768 0.500
V2 V 0.500 0.500 0.000
V3 V 0.768 0.232 0.500
O1 O 0.102 0.102 0.451
O2 O 0.176 0.614 0.113
O3 O 0.386 0.824 0.887
O4 O 0.401 0.401 0.605
O5 O 0.599 0.599 0.395
O6 O 0.614 0.176 0.113
O7 O 0.824 0.386 0.887
O8 O 0.898 0.898 0.549

*2*
# Ca2V3O8, optimized geometry, DFT PBE with a Hubbard U
# Symmetry   P6_3
data_Ca2V3O8
_space_group_name_H-M_alt 'P 1'
_space_group_IT_number 1
_cell_length_a 6.068
_cell_length_b 6.068
_cell_length_c 10.566
_cell_angle_alpha 90.00
_cell_angle_beta 90.00
_cell_angle_gamma 120.00
loop_
_space_group_symop_operation_xyz
'x,y,z'
loop_
_atom_site_label
_atom_site_type_symbol
_atom_site_fract_x
_atom_site_fract_y
_atom_site_fract_z
Ca1 Ca 0.333 0.667 0.000
Ca2 Ca 0.333 0.667 0.407
Ca3 Ca 0.667 0.333 0.500
Ca4 Ca 0.667 0.333 0.907
V1 V 0.160 0.327 0.686
V2 V 0.167 0.840 0.686
V3 V 0.327 0.167 0.186
V4 V 0.673 0.833 0.686
V5 V 0.833 0.160 0.186
V6 V 0.840 0.673 0.186
O1 O 0.000 0.000 0.087
O2 O 0.000 0.000 0.587
O3 O 0.046 0.538 0.582
O4 O 0.139 0.829 0.277
O5 O 0.171 0.310 0.277
O6 O 0.310 0.139 0.777
O7 O 0.333 0.667 0.786
O8 O 0.462 0.508 0.582
O9 O 0.492 0.954 0.582
O10 O 0.508 0.046 0.082
O11 O 0.538 0.492 0.082
O12 O 0.667 0.333 0.286
O13 O 0.690 0.861 0.277
O14 O 0.829 0.690 0.777
O15 O 0.861 0.171 0.777
O16 O 0.954 0.462 0.082

*1* (0.084 eV/atom below the next structure)

*1*
# Ca3VO, optimized geometry, DFT PBE with a Hubbard U
# Symmetry   Pm-3m
data_Ca3VO
_space_group_name_H-M_alt 'P 1'
_space_group_IT_number 1
_cell_length_a 5.672
_cell_length_b 5.672
_cell_length_c 5.672
_cell_angle_alpha 90.00
_cell_angle_beta 90.00
_cell_angle_gamma 90.00
loop_
_space_group_symop_operation_xyz
'x,y,z'
loop_
_atom_site_label
_atom_site_type_symbol
_atom_site_fract_x
_atom_site_fract_y
_atom_site_fract_z
Ca1 Ca 0.000 0.000 0.500
Ca2 Ca 0.000 0.500 0.000
Ca3 Ca 0.500 0.000 0.000
V1 V 0.000 0.000 0.000
O1 O 0.500 0.500 0.500

*2*
# Ca3VO, optimized geometry, DFT PBE with a Hubbard U
# Symmetry   Pm-3m
data_Ca3VO
_space_group_name_H-M_alt 'P 1'
_space_group_IT_number 1
_cell_length_a 4.929
_cell_length_b 4.929
_cell_length_c 4.929
_cell_angle_alpha 90.00
_cell_angle_beta 90.00
_cell_angle_gamma 90.00
loop_
_space_group_symop_operation_xyz
'x,y,z'
loop_
_atom_site_label
_atom_site_type_symbol
_atom_site_fract_x
_atom_site_fract_y
_atom_site_fract_z
Ca1 Ca 0.000 0.000 0.500
Ca2 Ca 0.000 0.500 0.000
Ca3 Ca 0.500 0.000 0.000
V1 V 0.500 0.500 0.500
O1 O 0.000 0.000 0.000

*2* (1.583 eV/atom below the next structure)

*1*
# Ca10V6O25, optimized geometry, DFT PBE with a Hubbard U
# Symmetry   P-6
data_Ca10V6O25
_space_group_name_H-M_alt 'P 1'
_space_group_IT_number 1
_cell_length_a 10.205
_cell_length_b 10.205
_cell_length_c 6.858
_cell_angle_alpha 90.00
_cell_angle_beta 90.00
_cell_angle_gamma 120.00
loop_
_space_group_symop_operation_xyz
'x,y,z'
loop_
_atom_site_label
_atom_site_type_symbol
_atom_site_fract_x
_atom_site_fract_y
_atom_site_fract_z
Ca1 Ca 0.000 0.000 0.244
Ca2 Ca 0.000 0.000 0.756
Ca3 Ca 0.333 0.667 0.251
Ca4 Ca 0.333 0.667 0.749
Ca5 Ca 0.375 0.311 0.500
Ca6 Ca 0.467 0.102 0.000
Ca7 Ca 0.635 0.533 0.000
Ca8 Ca 0.689 0.063 0.500
Ca9 Ca 0.898 0.365 0.000
Ca10 Ca 0.937 0.625 0.500
V1 V 0.029 0.307 0.500
V2 V 0.087 0.722 0.000
V3 V 0.277 0.971 0.500
V4 V 0.278 0.365 0.000
V5 V 0.635 0.913 0.000
V6 V 0.693 0.723 0.500
O1 O 0.019 0.602 0.201
O2 O 0.019 0.602 0.799
O3 O 0.032 0.856 0.000
O4 O 0.076 0.884 0.500
O5 O 0.116 0.193 0.500
O6 O 0.144 0.175 0.000
O7 O 0.166 0.496 0.500
O8 O 0.193 0.478 0.000
O9 O 0.284 0.807 0.000
O10 O 0.330 0.834 0.500
O11 O 0.345 0.094 0.304
O12 O 0.345 0.094 0.696
O13 O 0.398 0.417 0.201
O14 O 0.398 0.417 0.799
O15 O 0.504 0.670 0.500
O16 O 0.522 0.716 0.000
O17 O 0.583 0.981 0.201
O18 O 0.583 0.981 0.799
O19 O 0.667 0.333 0.000
O20 O 0.749 0.655 0.304
O21 O 0.749 0.655 0.696
O22 O 0.807 0.924 0.500
O23 O 0.825 0.968 0.000
O24 O 0.906 0.251 0.304
O25 O 0.906 0.251 0.696

*2*
# Ca10V6O25, optimized geometry, DFT PBE with a Hubbard U
# Symmetry   P-3
data_Ca10V6O25
_space_group_name_H-M_alt 'P 1'
_space_group_IT_number 1
_cell_length_a 10.122
_cell_length_b 10.122
_cell_length_c 6.730
_cell_angle_alpha 90.00
_cell_angle_beta 90.00
_cell_angle_gamma 120.00
loop_
_space_group_symop_operation_xyz
'x,y,z'
loop_
_atom_site_label
_atom_site_type_symbol
_atom_site_fract_x
_atom_site_fract_y
_atom_site_fract_z
Ca1 Ca 0.027 0.777 0.228
Ca2 Ca 0.223 0.249 0.228
Ca3 Ca 0.249 0.027 0.772
Ca4 Ca 0.333 0.667 0.015
Ca5 Ca 0.333 0.667 0.520
Ca6 Ca 0.667 0.333 0.480
Ca7 Ca 0.667 0.333 0.985
Ca8 Ca 0.751 0.973 0.228
Ca9 Ca 0.777 0.751 0.772
Ca10 Ca 0.973 0.223 0.772
V1 V 0.027 0.406 0.258
V2 V 0.379 0.973 0.258
V3 V 0.406 0.379 0.742
V4 V 0.594 0.621 0.258
V5 V 0.621 0.027 0.742
V6 V 0.973 0.594 0.742
O1 O 0.000 0.000 0.000
O2 O 0.066 0.311 0.444
O3 O 0.098 0.363 0.048
O4 O 0.136 0.606 0.282
O5 O 0.164 0.655 0.762
O6 O 0.244 0.934 0.444
O7 O 0.265 0.902 0.048
O8 O 0.311 0.244 0.556
O9 O 0.345 0.509 0.762
O10 O 0.363 0.265 0.952
O11 O 0.394 0.530 0.282
O12 O 0.470 0.864 0.282
O13 O 0.491 0.836 0.762
O14 O 0.509 0.164 0.238
O15 O 0.530 0.136 0.718
O16 O 0.606 0.470 0.718
O17 O 0.637 0.735 0.048
O18 O 0.655 0.491 0.238
O19 O 0.689 0.756 0.444
O20 O 0.735 0.098 0.952
O21 O 0.756 0.066 0.556
O22 O 0.836 0.345 0.238
O23 O 0.864 0.394 0.718
O24 O 0.902 0.637 0.952
O25 O 0.934 0.689 0.556

*1* (0.030 eV/atom below the next structure)

*1*
# CaW2O6, optimized geometry, DFT PBE with a Hubbard U
# Symmetry   P-31m
data_CaW2O6
_space_group_name_H-M_alt 'P 1'
_space_group_IT_number 1
_cell_length_a 5.371
_cell_length_b 5.371
_cell_length_c 5.002
_cell_angle_alpha 90.00
_cell_angle_beta 90.00
_cell_angle_gamma 120.00
loop_
_space_group_symop_operation_xyz
'x,y,z'
loop_
_atom_site_label
_atom_site_type_symbol
_atom_site_fract_x
_atom_site_fract_y
_atom_site_fract_z
Ca1 Ca 0.000 0.000 0.000
W1 W 0.333 0.667 0.500
W2 W 0.667 0.333 0.500
O1 O 0.000 0.365 0.287
O2 O 0.000 0.635 0.713
O3 O 0.365 0.000 0.287
O4 O 0.365 0.365 0.713
O5 O 0.635 0.000 0.713
O6 O 0.635 0.635 0.287

*2*
# CaW2O6, optimized geometry, DFT PBE with a Hubbard U
# Symmetry   P1
data_CaW2O6
_space_group_name_H-M_alt 'P 1'
_space_group_IT_number 1
_cell_length_a 5.494
_cell_length_b 5.602
_cell_length_c 7.793
_cell_angle_alpha 90.11
_cell_angle_beta 90.01
_cell_angle_gamma 90.05
loop_
_space_group_symop_operation_xyz
'x,y,z'
loop_
_atom_site_label
_atom_site_type_symbol
_atom_site_fract_x
_atom_site_fract_y
_atom_site_fract_z
Ca1 Ca 0.000 0.000 0.000
Ca2 Ca 0.497 0.407 0.502
W1 W 0.009 0.455 0.750
W2 W 0.010 0.459 0.251
W3 W 0.509 0.949 0.250
W4 W 0.512 0.944 0.750
O1 O 0.075 0.434 0.007
O2 O 0.217 0.185 0.287
O3 O 0.222 0.178 0.720
O4 O 0.299 0.654 0.295
O5 O 0.307 0.656 0.705
O6 O 0.430 0.934 0.995
O7 O 0.570 0.973 0.507
O8 O 0.731 0.228 0.788
O9 O 0.731 0.241 0.221
O10 O 0.812 0.737 0.794
O11 O 0.820 0.739 0.206
O12 O 0.922 0.469 0.496

*1* (0.024 eV/atom below the next structure)

*1*
# Ca2W3O8, optimized geometry, DFT PBE with a Hubbard U
# Symmetry   P6_3mc
data_Ca2W3O8
_space_group_name_H-M_alt 'P 1'
_space_group_IT_number 1
_cell_length_a 6.530
_cell_length_b 6.530
_cell_length_c 10.277
_cell_angle_alpha 90.00
_cell_angle_beta 90.00
_cell_angle_gamma 120.00
loop_
_space_group_symop_operation_xyz
'x,y,z'
loop_
_atom_site_label
_atom_site_type_symbol
_atom_site_fract_x
_atom_site_fract_y
_atom_site_fract_z
Ca1 Ca 0.333 0.667 0.000
Ca2 Ca 0.333 0.667 0.383
Ca3 Ca 0.667 0.333 0.500
Ca4 Ca 0.667 0.333 0.883
W1 W 0.164 0.329 0.715
W2 W 0.164 0.836 0.715
W3 W 0.329 0.164 0.215
W4 W 0.671 0.836 0.715
W5 W 0.836 0.164 0.215
W6 W 0.836 0.671 0.215
O1 O 0.000 0.000 0.316
O2 O 0.000 0.000 0.816
O3 O 0.051 0.525 0.824
O4 O 0.160 0.320 0.125
O5 O 0.160 0.840 0.125
O6 O 0.320 0.160 0.625
O7 O 0.333 0.667 0.607
O8 O 0.475 0.525 0.824
O9 O 0.475 0.949 0.824
O10 O 0.525 0.051 0.324
O11 O 0.525 0.475 0.324
O12 O 0.667 0.333 0.107
O13 O 0.680 0.840 0.125
O14 O 0.840 0.160 0.625
O15 O 0.840 0.680 0.625
O16 O 0.949 0.475 0.324

*2*
# Ca2W3O8, optimized geometry, DFT PBE with a Hubbard U
# Symmetry   C2/m
data_Ca2W3O8
_space_group_name_H-M_alt 'P 1'
_space_group_IT_number 1
_cell_length_a 6.468
_cell_length_b 6.468
_cell_length_c 5.569
_cell_angle_alpha 107.57
_cell_angle_beta 107.57
_cell_angle_gamma 55.68
loop_
_space_group_symop_operation_xyz
'x,y,z'
loop_
_atom_site_label
_atom_site_type_symbol
_atom_site_fract_x
_atom_site_fract_y
_atom_site_fract_z
Ca1 Ca 0.216 0.216 0.170
Ca2 Ca 0.784 0.784 0.830
W1 W 0.263 0.737 0.500
W2 W 0.500 0.500 0.000
W3 W 0.737 0.263 0.500
O1 O 0.098 0.098 0.431
O2 O 0.169 0.618 0.116
O3 O 0.382 0.831 0.884
O4 O 0.383 0.383 0.602
O5 O 0.617 0.617 0.398
O6 O 0.618 0.169 0.116
O7 O 0.831 0.382 0.884
O8 O 0.902 0.902 0.569

*1* (0.131 eV/atom below the next structure)